Entry 1:
TaRu2 after structural relaxation, computed with PBE.

The value obtained for the density of states at the Fermi level is 15.47 states/eV/cell. The formation energy comes out at 2.5 eV per formula unit.

Cell lengths 6.0413, 6.0413, 6.0413 Å; angles 90.00, 90.00, 90.00 degrees
Fractional positions:
Ta: 0.0000 0.0000 0.0000
Ta: 0.0000 0.5000 0.5000
Ta: 0.5000 0.0000 0.5000
Ta: 0.5000 0.5000 0.0000
Ru: 0.1208 0.6208 0.8792
Ru: 0.1208 0.8792 0.3792
Ru: 0.3792 0.1208 0.8792
Ru: 0.3792 0.3792 0.3792
Ru: 0.6208 0.6208 0.6208
Ru: 0.6208 0.8792 0.1208
Ru: 0.8792 0.1208 0.6208
Ru: 0.8792 0.3792 0.1208


Entry 2:
Ba12Pt6Rh after structural relaxation, computed with PBE.

The value obtained for the density of states at the Fermi level is 13.72 states/eV/cell. The formation energy comes out at -10.6 eV per formula unit.

Cell lengths 9.2664, 9.2664, 9.2664 Å; angles 99.45, 99.45, 99.45 degrees
Fractional positions:
Ba: 0.0463 0.6804 0.9197
Ba: 0.0803 0.9537 0.3196
Ba: 0.1775 0.4194 0.5827
Ba: 0.3196 0.0803 0.9537
Ba: 0.4173 0.8225 0.5806
Ba: 0.4194 0.5827 0.1775
Ba: 0.5806 0.4173 0.8225
Ba: 0.5827 0.1775 0.4194
Ba: 0.6804 0.9197 0.0463
Ba: 0.8225 0.5806 0.4173
Ba: 0.9197 0.0463 0.6804
Ba: 0.9537 0.3196 0.0803
Pt: 0.1350 0.6178 0.3102
Pt: 0.3102 0.1350 0.6178
Pt: 0.3822 0.6898 0.8650
Pt: 0.6178 0.3102 0.1350
Pt: 0.6898 0.8650 0.3822
Pt: 0.8650 0.3822 0.6898
Rh: 0.0000 0.0000 0.0000


Entry 3:
Pa2AlCo4 after structural relaxation, computed with PBE.

The value obtained for the density of states at the Fermi level is 4.39 states/eV/cell. The formation energy comes out at -1.5 eV per formula unit.

Cell lengths 5.7435, 5.4508, 5.3235 Å; angles 64.41, 58.87, 56.72 degrees
Fractional positions:
Pa: 0.2500 0.2500 0.2500
Pa: 0.7500 0.7500 0.7500
Al: 0.0000 0.0000 0.0000
Co: 0.2838 0.2838 0.7162
Co: 0.3003 0.6997 0.3003
Co: 0.6997 0.3003 0.6997
Co: 0.7162 0.7162 0.2838


Entry 4:
LaDyYHo after structural relaxation, computed with PBE.

The value obtained for the density of states at the Fermi level is 5.90 states/eV/cell. The formation energy comes out at 0.1 eV per formula unit.

Cell lengths 11.8985, 11.8985, 11.8985 Å; angles 17.42, 17.42, 17.42 degrees
Fractional positions:
La: 0.0000 0.0000 0.0000
Dy: 0.2484 0.2484 0.2484
Y: 0.4205 0.4205 0.4205
Ho: 0.8351 0.8351 0.8351


Entry 5:
BaAg2O6 after structural relaxation, computed with PBE.

Its formation energy without anion corrections is -224.2 meV/atom. The value obtained for the density of states at the Fermi level is 1.80 states/eV/cell.

Cell lengths 6.6375, 6.6375, 6.6375 Å; angles 147.79, 115.75, 73.71 degrees
Fractional positions:
Ba: 0.0000 0.0000 0.0000
Ag: 0.3174 0.8174 0.5000
Ag: 0.6826 0.1826 0.5000
O: 0.1052 0.3776 0.7277
O: 0.3386 0.5000 0.8386
O: 0.3501 0.6224 0.7277
O: 0.6499 0.3776 0.2723
O: 0.6614 0.5000 0.1614
O: 0.8948 0.6224 0.2723


Entry 6:
K2TcRu after structural relaxation, computed with PBE.

The value obtained for the density of states at the Fermi level is 2.65 states/eV/cell. The formation energy comes out at 5.3 eV per formula unit.

Cell lengths 6.3342, 6.3342, 2.6892 Å; angles 90.08, 90.08, 130.44 degrees
Fractional positions:
K: 0.0000 0.5000 0.0000
K: 0.5000 0.0000 0.0000
Tc: 0.0000 0.0000 0.5000
Ru: 0.5000 0.5000 0.5000


Entry 7:
KLi2Cl3 after structural relaxation, computed with PBE.

Its formation energy without anion corrections is -1811.2 meV/atom. The value obtained for the density of states at the Fermi level is 0.00 states/eV/cell.

Cell lengths 7.5756, 7.5756, 5.6031 Å; angles 90.00, 90.00, 105.54 degrees
Fractional positions:
K: 0.2058 0.7942 0.7500
K: 0.7942 0.2058 0.2500
Li: 0.3336 0.3336 0.0000
Li: 0.3336 0.3336 0.5000
Li: 0.6664 0.6664 0.0000
Li: 0.6664 0.6664 0.5000
Cl: 0.0927 0.3316 0.7500
Cl: 0.3316 0.0927 0.2500
Cl: 0.4007 0.5993 0.2500
Cl: 0.5993 0.4007 0.7500
Cl: 0.6684 0.9073 0.7500
Cl: 0.9073 0.6684 0.2500


Entry 8:
RuW2Br after structural relaxation, computed with PBE.

Its formation energy without anion corrections is 1187.4 meV/atom. The value obtained for the density of states at the Fermi level is 5.60 states/eV/cell.

Cell lengths 4.5282, 4.5282, 4.5282 Å; angles 60.00, 60.00, 60.00 degrees
Fractional positions:
Ru: 0.0000 0.0000 0.0000
W: 0.5000 0.5000 0.5000
W: 0.7500 0.7500 0.7500
Br: 0.2500 0.2500 0.2500


Entry 9:
YTcN3 after structural relaxation, computed with PBE.

Its formation energy without anion corrections is -374.0 meV/atom. The value obtained for the density of states at the Fermi level is 6.66 states/eV/cell.

Cell lengths 5.8470, 5.8470, 5.8470 Å; angles 55.97, 55.97, 55.97 degrees
Fractional positions:
Y: 0.1329 0.1329 0.1329
Y: 0.8671 0.8671 0.8671
Tc: 0.3575 0.3575 0.3575
Tc: 0.6425 0.6425 0.6425
N: 0.0707 0.6816 0.4837
N: 0.3184 0.5163 0.9293
N: 0.4837 0.0707 0.6816
N: 0.5163 0.9293 0.3184
N: 0.6816 0.4837 0.0707
N: 0.9293 0.3184 0.5163


Entry 10:
Ba2Ga4Pt5 after structural relaxation, computed with PBE.

The value obtained for the density of states at the Fermi level is 4.48 states/eV/cell. The formation energy comes out at -8.8 eV per formula unit.

Cell lengths 9.3252, 8.2947, 5.9183 Å; angles 80.11, 61.20, 38.70 degrees
Fractional positions:
Ba: 0.1317 0.1317 0.8683
Ba: 0.8683 0.8683 0.1317
Ga: 0.2089 0.5367 0.4633
Ga: 0.4633 0.7911 0.2089
Ga: 0.5367 0.2089 0.7911
Ga: 0.7911 0.4633 0.5367
Pt: 0.0000 0.0000 0.5000
Pt: 0.2500 0.2500 0.2500
Pt: 0.5000 0.5000 0.0000
Pt: 0.5000 0.5000 0.5000
Pt: 0.7500 0.7500 0.7500


Entry 11:
SrInSeN2 after structural relaxation, computed with PBE.

Its formation energy without anion corrections is 413.6 meV/atom. The value obtained for the density of states at the Fermi level is 1.74 states/eV/cell.

Cell lengths 4.4208, 4.4208, 5.5660 Å; angles 90.00, 90.00, 90.00 degrees
Fractional positions:
Sr: 0.0000 0.0000 0.0000
In: 0.5000 0.5000 0.5000
Se: 0.5000 0.5000 0.0000
N: 0.0000 0.5000 0.5000
N: 0.5000 0.0000 0.5000


Entry 12:
Ac2Sn4GeIr3 after structural relaxation, computed with PBE.

The value obtained for the density of states at the Fermi level is 4.33 states/eV/cell. The formation energy comes out at -5.4 eV per formula unit.

Cell lengths 4.7798, 4.7798, 10.4421 Å; angles 90.00, 90.00, 90.00 degrees
Fractional positions:
Ac: 0.0000 0.5000 0.2417
Ac: 0.5000 0.0000 0.7583
Sn: 0.0000 0.0000 0.5000
Sn: 0.0000 0.5000 0.8709
Sn: 0.5000 0.0000 0.1291
Sn: 0.5000 0.5000 0.5000
Ge: 0.5000 0.5000 0.0000
Ir: 0.0000 0.0000 0.0000
Ir: 0.0000 0.5000 0.6217
Ir: 0.5000 0.0000 0.3783


Entry 13:
LaNdSmPb after structural relaxation, computed with PBE.

The value obtained for the density of states at the Fermi level is 7.62 states/eV/cell. The formation energy comes out at -0.7 eV per formula unit.

Cell lengths 5.6607, 5.6607, 5.6607 Å; angles 60.00, 60.00, 60.00 degrees
Fractional positions:
La: 0.0000 0.0000 0.0000
Nd: 0.5000 0.5000 0.5000
Sm: 0.2500 0.2500 0.2500
Pb: 0.7500 0.7500 0.7500


Entry 14:
La2InSi after structural relaxation, computed with PBE.

Its formation energy without anion corrections is -130.6 meV/atom. The value obtained for the density of states at the Fermi level is 4.49 states/eV/cell.

Cell lengths 3.5933, 3.5933, 8.9290 Å; angles 90.00, 90.00, 90.00 degrees
Fractional positions:
La: 0.0000 0.0000 0.0000
La: 0.5000 0.5000 0.3641
In: 0.5000 0.5000 0.7435
Si: 0.0000 0.0000 0.5882


Entry 15:
BeSe2F after structural relaxation, computed with PBE.

Its formation energy without anion corrections is -374.7 meV/atom. The value obtained for the density of states at the Fermi level is 1.61 states/eV/cell.

Cell lengths 7.5486, 7.5486, 7.5486 Å; angles 143.95, 143.95, 51.91 degrees
Fractional positions:
Be: 0.0000 0.0000 0.0000
Be: 0.7500 0.2500 0.5000
Se: 0.0304 0.6250 0.9054
Se: 0.3750 0.2804 0.4054
Se: 0.7196 0.1250 0.0946
Se: 0.8750 0.9696 0.5946
F: 0.2500 0.7500 0.5000
F: 0.5000 0.5000 0.0000


Entry 16:
TcTePd2 after structural relaxation, computed with PBE.

Its formation energy without anion corrections is 276.0 meV/atom. The value obtained for the density of states at the Fermi level is 5.10 states/eV/cell.

Cell lengths 5.8660, 5.8660, 5.8660 Å; angles 102.03, 102.03, 125.66 degrees
Fractional positions:
Tc: 0.0000 0.0000 0.0000
Tc: 0.7500 0.2500 0.5000
Te: 0.2500 0.7500 0.5000
Te: 0.5000 0.5000 0.0000
Pd: 0.1294 0.6250 0.0044
Pd: 0.3750 0.3794 0.5044
Pd: 0.6206 0.1250 0.9956
Pd: 0.8750 0.8706 0.4956


Entry 17:
K2MgSbCl after structural relaxation, computed with PBE.

Its formation energy without anion corrections is -448.6 meV/atom. The value obtained for the density of states at the Fermi level is 0.00 states/eV/cell.

Cell lengths 6.8725, 6.8725, 4.9564 Å; angles 90.00, 90.00, 90.00 degrees
Fractional positions:
K: 0.0000 0.5000 0.0000
K: 0.5000 0.0000 0.0000
Mg: 0.0000 0.0000 0.0000
Sb: 0.0000 0.0000 0.5000
Cl: 0.5000 0.5000 0.5000


Entry 18:
Ce2ScTi after structural relaxation, computed with PBE.

The value obtained for the density of states at the Fermi level is 10.30 states/eV/cell. The formation energy comes out at 0.7 eV per formula unit.

Cell lengths 4.4702, 4.4702, 4.7961 Å; angles 90.00, 90.00, 90.00 degrees
Fractional positions:
Ce: 0.0000 0.5000 0.0000
Ce: 0.5000 0.0000 0.0000
Sc: 0.0000 0.0000 0.5000
Ti: 0.5000 0.5000 0.5000


Entry 19:
PrNdI3 after structural relaxation, computed with PBE.

Its formation energy without anion corrections is -1121.8 meV/atom. The value obtained for the density of states at the Fermi level is 7.29 states/eV/cell.

Cell lengths 8.0597, 8.0597, 7.3878 Å; angles 100.73, 100.73, 125.42 degrees
Fractional positions:
Pr: 0.1837 0.8163 0.0000
Pr: 0.8163 0.1837 0.0000
Nd: 0.3157 0.6843 0.5000
Nd: 0.6843 0.3157 0.5000
I: 0.1099 0.3899 0.7480
I: 0.2528 0.2528 0.2508
I: 0.3899 0.1099 0.7480
I: 0.6101 0.8901 0.2520
I: 0.7472 0.7472 0.7492
I: 0.8901 0.6101 0.2520


Entry 20:
Ce2YSn2Hg2 after structural relaxation, computed with PBE.

The value obtained for the density of states at the Fermi level is 13.17 states/eV/cell. The formation energy comes out at -1.9 eV per formula unit.

Cell lengths 9.6464, 9.6464, 9.6464 Å; angles 29.16, 29.16, 29.16 degrees
Fractional positions:
Ce: 0.1424 0.1424 0.1424
Ce: 0.8576 0.8576 0.8576
Y: 0.0000 0.0000 0.0000
Sn: 0.2740 0.2740 0.2740
Sn: 0.7260 0.7260 0.7260
Hg: 0.4282 0.4282 0.4282
Hg: 0.5718 0.5718 0.5718